## TbPm8Si6 (PBE)

Data for a relaxed structure of TbPm8Si6.

a b c (Å): 8.7510 8.7510 8.0000
angles (deg): 56.84 56.84 60.00
With the nearest neighbours (Å) after each atom.
Fractional coordinates of all 15 atoms:
Pm: 0.6663 0.6663 0.0012  6 Si 3.18-3.19, 6 Pm 3.50
Tb: 0.0000 0.0000 0.0000  6 Si 3.15, 6 Pm 3.51
Pm: 0.5608 0.2304 0.3124  5 Si 2.99-3.19
Pm: 0.8964 0.5608 0.3124  5 Si 2.99-3.19
Si: 0.6031 0.9327 0.2015  7 Pm 2.99-3.19, 1 Tb 3.15
Si: 0.2628 0.6031 0.2015  7 Pm 2.99-3.19, 1 Tb 3.15
Si: 0.3969 0.0673 0.7985  7 Pm 2.99-3.19, 1 Tb 3.15
Pm: 0.7696 0.1036 0.6876  5 Si 2.99-3.19
Si: 0.9327 0.2628 0.2015  7 Pm 2.99-3.19, 1 Tb 3.15
Si: 0.0673 0.7372 0.7985  7 Pm 2.99-3.19, 1 Tb 3.15
Si: 0.7372 0.3969 0.7985  7 Pm 2.99-3.19, 1 Tb 3.15
Pm: 0.1036 0.4392 0.6876  5 Si 2.99-3.19
Pm: 0.3337 0.3337 0.9988  6 Si 3.18-3.19, 6 Pm 3.50
Pm: 0.2304 0.8964 0.3124  5 Si 2.99-3.19
Pm: 0.4392 0.7696 0.6876  5 Si 2.99-3.19



## TbPmSi4 (PBE)

Data for a relaxed structure of TbPmSi4.

a b c (Å): 4.0347 4.0347 7.8535
angles (deg): 104.88 104.88 90.00
With the nearest neighbours (Å) after each atom.
Fractional coordinates of all 6 atoms:
Pm: 0.2500 0.7500 0.5000  12 Si 3.11-3.19
Si: 0.8339 0.3339 0.6679  3 Si 2.37-2.46
Si: 0.6661 0.1661 0.3321  3 Si 2.37-2.46
Si: 0.4189 0.4189 0.8377  3 Si 2.37
Si: 0.5811 0.5811 0.1623  3 Si 2.37
Tb: 0.0000 0.0000 0.0000  12 Si 3.09-3.16

Results
E above lowest polymorph, eV/f.u.: 0.000



It is found that the raw formation energy values, taken in the order of the records, are -749, -332 kJ/mol of formula units.